# 1
# La6TbDy2Tm

An optimized crystal structure of La6TbDy2Tm (GGA-PBE, Alexandria).

Cell: 9.8101 9.0280 9.0280 Å, 117.90 94.42 94.42°
Last column: nearest neighbours and their distance in Å.
Positions (direct):
Tm (0.2500, 0.4123, 0.5877)  6 La 3.43-3.61, 2 Dy 3.55
La (0.1946, 0.5619, 0.0026)  3 La 3.35-3.70, 1 Tm 3.44, 1 Dy 3.55, 1 Tb 3.65
La (0.6195, 0.4932, 0.7044)  3 Dy 3.32-3.51, 3 La 3.35-3.47, 2 Tm 3.43-3.61
La (0.8054, 0.4381, 0.9974)  3 La 3.35-3.70, 1 Tm 3.44, 1 Dy 3.55, 1 Tb 3.65
La (0.1195, 0.7044, 0.4932)  3 Dy 3.32-3.51, 3 La 3.35-3.47, 2 Tm 3.43-3.61
La (0.8805, 0.2956, 0.5068)  3 Dy 3.32-3.51, 3 La 3.35-3.47, 2 Tm 3.43-3.61
Tb (0.2500, 0.9762, 0.0238)  4 Dy 3.43-3.44, 4 La 3.65-3.66
Dy (0.4549, 0.8024, 0.7077)  5 La 3.32-3.55, 2 Tb 3.43-3.44, 1 Tm 3.55
La (0.3805, 0.5068, 0.2956)  3 Dy 3.32-3.51, 3 La 3.35-3.47, 2 Tm 3.43-3.61
La (0.9494, 0.8895, 0.2415)  6 La 3.47-3.89, 1 Dy 3.52, 1 Tb 3.66
Dy (0.5451, 0.1976, 0.2923)  5 La 3.32-3.55, 2 Tb 3.43-3.44, 1 Tm 3.55
Dy (0.0451, 0.2923, 0.1976)  5 La 3.32-3.55, 2 Tb 3.43-3.44, 1 Tm 3.55
La (0.3054, 0.9974, 0.4381)  3 La 3.35-3.70, 1 Tm 3.44, 1 Dy 3.55, 1 Tb 3.65
La (0.0506, 0.1105, 0.7585)  6 La 3.47-3.89, 1 Dy 3.52, 1 Tb 3.66
Dy (0.9549, 0.7077, 0.8024)  5 La 3.32-3.55, 2 Tb 3.43-3.44, 1 Tm 3.55
La (0.5506, 0.7585, 0.1105)  6 La 3.47-3.89, 1 Dy 3.52, 1 Tb 3.66
La (0.6946, 0.0026, 0.5619)  3 La 3.35-3.70, 1 Tm 3.44, 1 Dy 3.55, 1 Tb 3.65
La (0.4494, 0.2415, 0.8895)  6 La 3.47-3.89, 1 Dy 3.52, 1 Tb 3.66
Tb (0.7500, 0.0238, 0.9762)  4 Dy 3.43-3.44, 4 La 3.65-3.66
Tm (0.7500, 0.5877, 0.4123)  6 La 3.43-3.61, 2 Dy 3.55

Computed properties:
- Crystal system: monoclinic
- Final energy: -93.558 eV per cell
- Energy of formation: 105 kJ/mol of formula units



# 2
# Zn13Fe

An optimized crystal structure of Zn13Fe (GGA-PBE, Alexandria).

Cell: 6.6300 6.6300 5.0091 Å, 81.33 81.33 70.62°
Last column: nearest neighbours and their distance in Å.
Positions (direct):
Zn (0.7866, 0.3650, 0.6865)  8 Zn 2.58-2.86, 1 Fe 2.60
Zn (0.6350, 0.2134, 0.3135)  8 Zn 2.58-2.86, 1 Fe 2.60
Zn (0.3551, 0.9958, 0.1985)  8 Zn 2.56-2.80, 1 Fe 2.59
Zn (0.7786, 0.7786, 0.3727)  6 Zn 2.56-2.75, 1 Fe 2.59
Zn (0.6449, 0.0042, 0.8015)  8 Zn 2.56-2.80, 1 Fe 2.59
Fe (0.0000, 0.0000, 0.5000)  12 Zn 2.50-2.60
Zn (0.6143, 0.6143, 0.0644)  10 Zn 2.56-2.77
Zn (0.0042, 0.6449, 0.8015)  8 Zn 2.56-2.80, 1 Fe 2.59
Zn (0.0000, 0.0000, 0.0000)  2 Fe 2.50, 10 Zn 2.68-2.75
Zn (0.2214, 0.2214, 0.6273)  6 Zn 2.56-2.75, 1 Fe 2.59
Zn (0.3857, 0.3857, 0.9356)  10 Zn 2.56-2.77
Zn (0.3650, 0.7866, 0.6865)  8 Zn 2.58-2.86, 1 Fe 2.60
Zn (0.2134, 0.6350, 0.3135)  8 Zn 2.58-2.86, 1 Fe 2.60
Zn (0.9958, 0.3551, 0.1985)  8 Zn 2.56-2.80, 1 Fe 2.59

Computed properties:
- Crystal system: monoclinic
- Final energy: -25.264 eV per cell
- Energy of formation: -23 kJ/mol of formula units



# 3
# VFeC2

An optimized crystal structure of VFeC2 (GGA-PBE, Alexandria).

Cell: 3.7227 2.7760 7.1244 Å, 90.00 106.46 90.00°
Last column: nearest neighbours and their distance in Å.
Positions (direct):
C (0.3962, 0.5000, 0.2196)  1 C 1.44
C (0.0811, 0.0000, 0.5475)  1 C 1.44
Fe (0.9464, 0.0000, 0.8186)  5 C 1.97-2.13
V (0.5626, 0.0000, 0.0355)  7 C 2.12-2.36
C (0.3962, 0.0000, 0.7196)  1 C 1.44
V (0.5626, 0.5000, 0.5355)  7 C 2.12-2.36
Fe (0.9464, 0.5000, 0.3186)  5 C 1.97-2.13
C (0.0811, 0.5000, 0.0475)  1 C 1.44

Computed properties:
- Crystal system: monoclinic
- Final energy: -70.052 eV per cell
- Energy of formation: 97 kJ/mol of formula units



# 4
# CdSb12Ru4

An optimized crystal structure of CdSb12Ru4 (GGA-PBE, Alexandria).

Cell: 8.1530 8.1530 8.1530 Å, 109.47 109.47 109.47°
Last column: nearest neighbours and their distance in Å.
Positions (direct):
Sb (0.3369, 0.4935, 0.1566)  2 Ru 2.64, 1 Sb 2.95
Sb (0.5065, 0.8434, 0.6631)  2 Ru 2.64, 1 Sb 2.95
Cd (0.0000, 0.0000, 0.0000)  12 Sb 3.50
Ru (0.0000, 0.0000, 0.5000)  6 Sb 2.64
Sb (0.8197, 0.1566, 0.6631)  2 Ru 2.64, 1 Sb 2.95
Sb (0.3369, 0.1803, 0.8434)  2 Ru 2.64, 1 Sb 2.95
Sb (0.4935, 0.1566, 0.3369)  2 Ru 2.64, 1 Sb 2.95
Ru (0.5000, 0.0000, 0.0000)  6 Sb 2.64
Sb (0.6631, 0.8197, 0.1566)  2 Ru 2.64, 1 Sb 2.95
Ru (0.5000, 0.5000, 0.5000)  6 Sb 2.64
Sb (0.1566, 0.3369, 0.4935)  2 Ru 2.64, 1 Sb 2.95
Sb (0.6631, 0.5065, 0.8434)  2 Ru 2.64, 1 Sb 2.95
Sb (0.8434, 0.6631, 0.5065)  2 Ru 2.64, 1 Sb 2.95
Sb (0.8434, 0.3369, 0.1803)  2 Ru 2.64, 1 Sb 2.95
Sb (0.1566, 0.6631, 0.8197)  2 Ru 2.64, 1 Sb 2.95
Sb (0.1803, 0.8434, 0.3369)  2 Ru 2.64, 1 Sb 2.95
Ru (0.0000, 0.5000, 0.0000)  6 Sb 2.64

Computed properties:
- Crystal system: cubic
- Final energy: -89.266 eV per cell
- Formation energy (no corrections): -105 meV per atom



# 5
# ReRu3Br

An optimized crystal structure of ReRu3Br (GGA-PBE, Alexandria).

Cell: 4.7769 4.7769 4.7769 Å, 90.00 90.00 90.00°
Last column: nearest neighbours and their distance in Å.
Positions (direct):
Ru (0.5000, 0.0000, 0.0000)  2 Re 2.39
Ru (0.0000, 0.0000, 0.5000)  2 Re 2.39
Re (0.0000, 0.0000, 0.0000)  6 Ru 2.39
Br (0.5000, 0.5000, 0.5000)  12 Ru 3.38
Ru (0.0000, 0.5000, 0.0000)  2 Re 2.39

Computed properties:
- Crystal system: cubic
- Final energy: -33.184 eV per cell
- Formation energy (no corrections): 1753 meV per atom



# 6
# Ac3Al2AgO8

An optimized crystal structure of Ac3Al2AgO8 (GGA-PBE, Alexandria).

Cell: 5.6776 5.6776 7.6239 Å, 90.00 90.00 120.00°
Last column: nearest neighbours and their distance in Å.
Positions (direct):
Ac (0.0000, 0.0000, 0.0000)  6 O 2.66
Ac (0.3333, 0.6667, 0.6679)  1 O 2.22
Al (0.6667, 0.3333, 0.8110)  4 O 1.75
O (0.1682, 0.3363, 0.2736)  1 Al 1.75
O (0.3363, 0.1682, 0.7264)  1 Al 1.75
O (0.8318, 0.1682, 0.7264)  1 Al 1.75
O (0.6667, 0.3333, 0.0408)  1 Al 1.75
Ac (0.6667, 0.3333, 0.3321)  1 O 2.22
O (0.1682, 0.8318, 0.2736)  1 Al 1.75
Al (0.3333, 0.6667, 0.1890)  4 O 1.75
O (0.6637, 0.8318, 0.2736)  1 Al 1.75
O (0.3333, 0.6667, 0.9592)  1 Al 1.75
O (0.8318, 0.6637, 0.7264)  1 Al 1.75
Ag (0.0000, 0.0000, 0.5000)  6 O 2.39

Computed properties:
- Crystal system: trigonal
- Final energy: -100.690 eV per cell
- Formation energy (no corrections): -2740 meV per atom



# 7
# Rb10Au4Cl

An optimized crystal structure of Rb10Au4Cl (GGA-PBE, Alexandria).

Cell: 5.9921 5.9921 24.1702 Å, 82.88 82.88 60.00°
Last column: nearest neighbours and their distance in Å.
Positions (direct):
Rb (0.9499, 0.9499, 0.1502)  1 Cl 3.59, 3 Au 3.63
Rb (0.4495, 0.4495, 0.6515)  4 Au 3.65-3.67
Rb (0.5505, 0.5505, 0.3485)  4 Au 3.65-3.67
Rb (0.6501, 0.6501, 0.0496)  1 Au 3.50, 3 Cl 3.66
Rb (0.7493, 0.7493, 0.7521)  4 Au 3.63-3.68
Au (0.3987, 0.3987, 0.8039)  8 Rb 3.50-3.68
Rb (0.2507, 0.2507, 0.2479)  4 Au 3.63-3.68
Rb (0.3499, 0.3499, 0.9504)  1 Au 3.50, 3 Cl 3.66
Rb (0.8504, 0.8504, 0.4489)  4 Au 3.62-3.65
Au (0.7999, 0.7999, 0.6002)  8 Rb 3.62-3.67
Cl (0.0000, 0.0000, 0.0000)  8 Rb 3.59-3.66
Au (0.6013, 0.6013, 0.1961)  8 Rb 3.50-3.68
Rb (0.0501, 0.0501, 0.8498)  1 Cl 3.59, 3 Au 3.63
Au (0.2001, 0.2001, 0.3998)  8 Rb 3.62-3.67
Rb (0.1496, 0.1496, 0.5511)  4 Au 3.62-3.65

Computed properties:
- Crystal system: trigonal
- Final energy: -30.058 eV per cell
- Formation energy (no corrections): -362 meV per atom



# 8
# NdSi2Os2

An optimized crystal structure of NdSi2Os2 (GGA-PBE, Alexandria).

Cell: 5.7693 5.7693 5.7693 Å, 137.26 137.26 62.03°
Last column: nearest neighbours and their distance in Å.
Positions (direct):
Os (0.2500, 0.7500, 0.5000)  4 Si 2.41
Si (0.6313, 0.6313, 0.0000)  4 Os 2.41, 1 Si 2.60
Nd (0.0000, 0.0000, 0.0000)  8 Si 3.24, 8 Os 3.25
Os (0.7500, 0.2500, 0.5000)  4 Si 2.41
Si (0.3687, 0.3687, 0.0000)  4 Os 2.41, 1 Si 2.60

Computed properties:
- Crystal system: tetragonal
- Final energy: -41.562 eV per cell
- Formation energy (no corrections): -698 meV per atom



Short version: spin magnetization = 0.0 0.2 0.0 0.0 3.7 0.0 2.2 0.0 μB/f.u., in the order given.